A plane-wave DFT calculation with PBE+U was carried out for a relaxed structure of RbMnF3.

POSCAR file:
```
RbMnF3
1.0
3.388 1.956 5.387
-3.388 1.956 5.387
0.000 -3.912 5.387
Rb Mn F
2 2 6
Direct
0.000 0.000 0.000
0.500 0.500 0.500
0.250 0.250 0.250
0.750 0.750 0.750
0.039 0.750 0.461
0.250 0.539 0.961
0.461 0.039 0.750
0.539 0.961 0.250
0.750 0.461 0.039
0.961 0.250 0.539
```

Results
Electronic total energy = -53.32 eV for the cell shown
Magnetic moment = 10.000 μB per cell